Entry 1:
Density functional theory data (PBE) for an optimized crystal structure of AcSmGd.

```
AcSmGd
1.0
-3.074 -1.430 -1.670
1.867 -3.214 -0.684
-1.774 -0.505 7.974
Ac Gd Sm
1 1 1
direct
0.001 0.001 0.001
0.328 0.328 0.655
0.672 0.672 0.344
```

Values from the calculation:
The space-group type is I4mm, No. 107. The mass density comes out at 8.03 g/cm³.



Entry 2:
Density functional theory data (PBE) for an optimized crystal structure of AcSm2Gd.

```
AcSm2Gd
1.0
-2.485 -1.385 -4.410
-1.085 -4.683 2.082
-4.485 1.897 1.931
Ac Gd Sm
1 1 2
direct
0.500 0.000 0.000
0.500 0.500 0.500
0.000 0.000 0.500
0.000 0.500 0.000
```

Values from the calculation:
The space-group type is P4/mmm, No. 123. The mass density comes out at 7.90 g/cm³.



Entry 3:
Density functional theory data (PBE) for an optimized crystal structure of AcSmGd2.

```
AcSmGd2
1.0
5.881 0.000 0.000
2.940 5.093 0.000
2.940 1.698 4.801
Ac Gd Sm
1 2 1
direct
0.000 0.000 0.000
0.250 0.250 0.250
0.750 0.750 0.750
0.500 0.500 0.500
```

Values from the calculation:
The space-group type is Fm-3m, No. 225. The mass density comes out at 7.99 g/cm³.



Entry 4:
Density functional theory data (PBE) for an optimized crystal structure of AcSmGd.

```
AcSmGd
1.0
3.766 0.000 0.000
-1.883 3.262 0.000
0.000 0.000 9.022
Ac Gd Sm
1 1 1
direct
0.667 0.333 0.334
0.333 0.667 0.674
0.000 0.000 0.992
```

Values from the calculation:
The space-group type is P3m1, No. 156. The mass density comes out at 8.01 g/cm³.



| no. | excess energy over the best structure of this formula in the dataset (meV per atom) | electronic total energy (hartree per atom) |
| --- | --- | --- |
| 1 | 0 | -0.2792 |
| 2 | 0 | -0.2526 |
| 3 | 72 | -0.3358 |
| 4 | 8 | -0.2789 |